Entry from Alexandria via LeMat-Bulk: crystalline Ta3TiNb6 at its relaxed geometry (PBE).

Computed properties:
**ρ**: 10.29 g/cm³
**Calculated formation energy**: 0.180 eV per atom
**Spin magnetization**: 0.24 μB/f.u.
**Space-group type**: P2_1/m, No. 11
**Raw total energy**: -10.2068 eV/atom

Unit cell a=11.2082 b=2.7562 c=12.1055 alpha=90.00 beta=97.64 gamma=90.00
Closest atoms and distances in Å follow each position.
Positions (direct):
Ta1 0.0733 0.2500 0.0993  4 Ta 2.76-3.05, 4 Nb 2.80-3.02
Ta2 0.3770 0.7500 0.5028  2 Ta 2.76, 5 Nb 2.77-3.06
Ta3 0.4270 0.2500 0.8996  4 Ta 2.76-3.07, 2 Nb 2.77-2.81
Ta4 0.5730 0.7500 0.1004  4 Ta 2.76-3.07, 2 Nb 2.77-2.81
Ta5 0.6230 0.2500 0.4972  2 Ta 2.76, 5 Nb 2.77-3.06
Ta6 0.9267 0.7500 0.9007  4 Ta 2.76-3.05, 4 Nb 2.80-3.02
Ti1 0.0281 0.2500 0.7045  6 Nb 2.75-3.08, 2 Ti 2.76
Ti2 0.9719 0.7500 0.2955  6 Nb 2.75-3.08, 2 Ti 2.76
Nb1 0.1247 0.2500 0.4964  4 Nb 2.76-3.08, 1 Ti 2.87
Nb2 0.1764 0.7500 0.8980  3 Nb 2.76-2.78, 1 Ta 2.80, 2 Ti 3.02
Nb3 0.2170 0.7500 0.2957  1 Ti 2.75, 3 Nb 2.76-2.88, 3 Ta 2.88-3.02
Nb4 0.2723 0.7500 0.6977  5 Nb 2.76-3.08, 1 Ta 2.77, 2 Ti 3.08
Nb5 0.3259 0.2500 0.0998  4 Nb 2.76-3.07, 2 Ta 2.81-2.83
Nb6 0.4745 0.7500 0.2988  5 Nb 2.76-3.07, 4 Ta 2.77-3.06
Nb7 0.5255 0.2500 0.7012  5 Nb 2.76-3.07, 4 Ta 2.77-3.06
Nb8 0.6741 0.7500 0.9002  4 Nb 2.76-3.07, 2 Ta 2.81-2.83
Nb9 0.7277 0.2500 0.3023  5 Nb 2.76-3.08, 1 Ta 2.77, 2 Ti 3.08
Nb10 0.7830 0.2500 0.7043  1 Ti 2.75, 3 Nb 2.76-2.88, 3 Ta 2.88-3.02
Nb11 0.8236 0.2500 0.1020  3 Nb 2.76-2.78, 1 Ta 2.80, 2 Ti 3.02
Nb12 0.8753 0.7500 0.5036  4 Nb 2.76-3.08, 1 Ti 2.87

***

Entry from Alexandria via LeMat-Bulk: crystalline TaTiNb3 at its relaxed geometry (PBE).

Computed properties:
**ρ**: 8.33 g/cm³
**Calculated formation energy**: 1.250 eV per atom
**Spin magnetization**: 0.00 μB/f.u.
**Space-group type**: Pm-3m, No. 221
**Raw total energy**: -8.7411 eV/atom

Unit cell a=4.6605 b=4.6605 c=4.6605 alpha=90.00 beta=90.00 gamma=90.00
Closest atoms and distances in Å follow each position.
Positions (direct):
Ta1 0.0000 0.0000 0.0000  12 Nb 3.30
Ti1 0.5000 0.5000 0.5000  6 Nb 2.33
Nb1 0.0000 0.5000 0.5000  2 Ti 2.33
Nb2 0.5000 0.0000 0.5000  2 Ti 2.33
Nb3 0.5000 0.5000 0.0000  2 Ti 2.33

***

Entry from Alexandria via LeMat-Bulk: crystalline Ta5TiNb6 at its relaxed geometry (PBE).

Computed properties:
**ρ**: 11.52 g/cm³
**Calculated formation energy**: 0.001 eV per atom
**Spin magnetization**: 0.00 μB/f.u.
**Space-group type**: C2/m, No. 12
**Raw total energy**: -10.6305 eV/atom

Unit cell a=8.0676 b=8.0676 c=4.7001 alpha=106.48 beta=106.48 gamma=48.45
Closest atoms and distances in Å follow each position.
Positions (direct):
Ta1 0.0000 0.0000 0.0000  8 Nb 2.86-2.87
Ta2 0.1668 0.1668 0.6664  8 Nb 2.85-2.87
Ta3 0.3353 0.3353 0.3344  8 Nb 2.84-2.88
Ta4 0.6647 0.6647 0.6656  8 Nb 2.84-2.88
Ta5 0.8332 0.8332 0.3336  8 Nb 2.85-2.87
Ti1 0.5000 0.5000 0.0000  8 Nb 2.87-2.88
Nb1 0.0823 0.5835 0.8328  7 Ta 2.86-2.88, 1 Ti 2.87
Nb2 0.2483 0.7517 0.5000  6 Ta 2.84-2.87, 2 Ti 2.88
Nb3 0.4165 0.9177 0.1672  7 Ta 2.86-2.88, 1 Ti 2.87
Nb4 0.5835 0.0823 0.8328  7 Ta 2.86-2.88, 1 Ti 2.87
Nb5 0.7517 0.2483 0.5000  6 Ta 2.84-2.87, 2 Ti 2.88
Nb6 0.9177 0.4165 0.1672  7 Ta 2.86-2.88, 1 Ti 2.87

***

Entry from Alexandria via LeMat-Bulk: crystalline TaTi2Nb at its relaxed geometry (PBE).

Computed properties:
**ρ**: 8.64 g/cm³
**Calculated formation energy**: 0.098 eV per atom
**Spin magnetization**: 0.00 μB/f.u.
**Space-group type**: P2_1/c, No. 14
**Raw total energy**: -9.3304 eV/atom

Unit cell a=9.4627 b=5.5633 c=5.4091 alpha=90.00 beta=93.44 gamma=90.00
Closest atoms and distances in Å follow each position.
Positions (direct):
Ta1 0.1323 0.1241 0.3797  7 Ti 2.74-3.02, 1 Nb 2.87, 2 Ta 3.05
Ta2 0.1323 0.3759 0.8798  7 Ti 2.74-3.02, 1 Nb 2.87, 2 Ta 3.05
Ta3 0.8677 0.6241 0.1202  7 Ti 2.74-3.02, 1 Nb 2.87, 2 Ta 3.05
Ta4 0.8677 0.8759 0.6202  7 Ti 2.74-3.02, 1 Nb 2.87, 2 Ta 3.05
Ti1 0.1164 0.6290 0.4053  5 Ta 2.74-3.02, 4 Ti 2.87-3.04, 2 Nb 2.88-2.94
Ti2 0.1164 0.8710 0.9053  5 Ta 2.74-3.02, 4 Ti 2.87-3.04, 2 Nb 2.88-2.94
Ti3 0.3834 0.1286 0.1025  4 Nb 2.71-2.91, 2 Ta 2.88-2.94, 3 Ti 2.91-3.02
Ti4 0.3834 0.3714 0.6025  4 Nb 2.71-2.91, 2 Ta 2.88-2.94, 3 Ti 2.91-3.02
Ti5 0.6166 0.6286 0.3975  4 Nb 2.71-2.91, 2 Ta 2.88-2.94, 3 Ti 2.91-3.02
Ti6 0.6166 0.8714 0.8975  4 Nb 2.71-2.91, 2 Ta 2.88-2.94, 3 Ti 2.91-3.02
Ti7 0.8836 0.1290 0.0947  5 Ta 2.74-3.02, 4 Ti 2.87-3.04, 2 Nb 2.88-2.94
Ti8 0.8836 0.3710 0.5947  5 Ta 2.74-3.02, 4 Ti 2.87-3.04, 2 Nb 2.88-2.94
Nb1 0.3664 0.6210 0.1280  6 Ti 2.71-2.94, 1 Ta 2.87
Nb2 0.3664 0.8790 0.6280  6 Ti 2.71-2.94, 1 Ta 2.87
Nb3 0.6336 0.1210 0.3720  6 Ti 2.71-2.94, 1 Ta 2.87
Nb4 0.6336 0.3790 0.8720  6 Ti 2.71-2.94, 1 Ta 2.87

***

Entry from Alexandria via LeMat-Bulk: crystalline Ta8TiNb6 at its relaxed geometry (PBE).

Computed properties:
**ρ**: 11.84 g/cm³
**Calculated formation energy**: 0.313 eV per atom
**Spin magnetization**: 0.00 μB/f.u.
**Space-group type**: P-3, No. 147
**Raw total energy**: -10.5626 eV/atom

Unit cell a=7.7560 b=7.7560 c=5.5272 alpha=90.00 beta=90.00 gamma=120.00
Closest atoms and distances in Å follow each position.
Positions (direct):
Ta1 0.0074 0.7098 0.3647  4 Nb 2.63-2.95, 3 Ta 2.71-2.73
Ta2 0.2902 0.2976 0.3647  4 Nb 2.63-2.95, 3 Ta 2.71-2.73
Ta3 0.2976 0.0074 0.6353  4 Nb 2.63-2.95, 3 Ta 2.71-2.73
Ta4 0.3333 0.6667 0.3705  3 Ta 2.71
Ta5 0.6667 0.3333 0.6295  3 Ta 2.71
Ta6 0.7024 0.9926 0.3647  4 Nb 2.63-2.95, 3 Ta 2.71-2.73
Ta7 0.7098 0.7024 0.6353  4 Nb 2.63-2.95, 3 Ta 2.71-2.73
Ta8 0.9926 0.2902 0.6353  4 Nb 2.63-2.95, 3 Ta 2.71-2.73
Ti1 0.0000 0.0000 0.0000  6 Ta 3.04, 6 Nb 3.09
Nb1 0.0973 0.6695 0.8726  4 Ta 2.63-2.95, 1 Nb 2.68
Nb2 0.3305 0.4278 0.8726  4 Ta 2.63-2.95, 1 Nb 2.68
Nb3 0.4278 0.0973 0.1274  4 Ta 2.63-2.95, 1 Nb 2.68
Nb4 0.5722 0.9027 0.8726  4 Ta 2.63-2.95, 1 Nb 2.68
Nb5 0.6695 0.5722 0.1274  4 Ta 2.63-2.95, 1 Nb 2.68
Nb6 0.9027 0.3305 0.1274  4 Ta 2.63-2.95, 1 Nb 2.68

***

Entry from Alexandria via LeMat-Bulk: crystalline Ta2TiNb at its relaxed geometry (PBE).

Computed properties:
**ρ**: 11.26 g/cm³
**Calculated formation energy**: 0.294 eV per atom
**Spin magnetization**: 0.00 μB/f.u.
**Space-group type**: Amm2, No. 38
**Raw total energy**: -10.1232 eV/atom

Unit cell a=3.6029 b=3.1372 c=13.1223 alpha=90.00 beta=90.00 gamma=90.00
Closest atoms and distances in Å follow each position.
Positions (direct):
Ta1 0.0000 0.0000 0.0000  2 Ti 2.65, 4 Nb 2.81
Ta2 0.0000 0.0000 0.2399  4 Ti 2.80, 4 Nb 2.91, 2 Ta 3.14
Ta3 0.0000 0.5000 0.5000  2 Ti 2.65, 4 Nb 2.81
Ta4 0.0000 0.5000 0.7399  4 Ti 2.80, 4 Nb 2.91, 2 Ta 3.14
Ti1 0.5000 0.0000 0.8518  6 Ta 2.65-2.80
Ti2 0.5000 0.5000 0.3518  6 Ta 2.65-2.80
Nb1 0.5000 0.0000 0.6127  8 Ta 2.81-2.91, 1 Ti 3.14, 2 Nb 3.14
Nb2 0.5000 0.5000 0.1127  8 Ta 2.81-2.91, 1 Ti 3.14, 2 Nb 3.14

***

Entry from Alexandria via LeMat-Bulk: crystalline TaTi2Nb at its relaxed geometry (PBE).

Computed properties:
**ρ**: 8.72 g/cm³
**Calculated formation energy**: 0.094 eV per atom
**Spin magnetization**: 0.00 μB/f.u.
**Space-group type**: P4/mmm, No. 123
**Raw total energy**: -9.3344 eV/atom

Unit cell a=4.9121 b=4.9121 c=2.9178 alpha=90.00 beta=90.00 gamma=90.00
Closest atoms and distances in Å follow each position.
Positions (direct):
Ta1 0.0000 0.0000 0.0000  8 Ti 2.86, 2 Ta 2.92
Ti1 0.0000 0.5000 0.5000  4 Ta 2.86, 4 Nb 2.86, 2 Ti 2.92
Ti2 0.5000 0.0000 0.5000  4 Ta 2.86, 4 Nb 2.86, 2 Ti 2.92
Nb1 0.5000 0.5000 0.0000  8 Ti 2.86, 2 Nb 2.92

***

Entry from Alexandria via LeMat-Bulk: crystalline Ta2TiNb6 at its relaxed geometry (PBE).

Computed properties:
**ρ**: 9.25 g/cm³
**Calculated formation energy**: 0.305 eV per atom
**Spin magnetization**: 0.00 μB/f.u.
**Space-group type**: R-3m, No. 166
**Raw total energy**: -9.9192 eV/atom

Unit cell a=9.3177 b=9.3177 c=9.3177 alpha=29.50 beta=29.50 gamma=29.50
Closest atoms and distances in Å follow each position.
Positions (direct):
Ta1 0.0976 0.0976 0.0976  4 Nb 2.61-2.83, 1 Ti 2.61
Ta2 0.9024 0.9024 0.9024  4 Nb 2.61-2.83, 1 Ti 2.61
Ti1 0.0000 0.0000 0.0000  2 Ta 2.61, 6 Nb 2.91
Nb1 0.1951 0.1951 0.1951  1 Ta 2.61, 1 Nb 2.73
Nb2 0.2971 0.2971 0.2971  5 Nb 2.73-2.89, 3 Ti 2.91
Nb3 0.4045 0.4045 0.4045  3 Ta 2.83, 4 Nb 2.87-2.89
Nb4 0.5955 0.5955 0.5955  3 Ta 2.83, 4 Nb 2.87-2.89
Nb5 0.7029 0.7029 0.7029  5 Nb 2.73-2.89, 3 Ti 2.91
Nb6 0.8049 0.8049 0.8049  1 Ta 2.61, 1 Nb 2.73

***

Entry from Alexandria via LeMat-Bulk: crystalline TaTi2Nb at its relaxed geometry (PBE).

Computed properties:
**ρ**: 8.72 g/cm³
**Calculated formation energy**: 0.036 eV per atom
**Spin magnetization**: 0.00 μB/f.u.
**Space-group type**: Cmcm, No. 63
**Raw total energy**: -9.3917 eV/atom

Unit cell a=9.2807 b=9.2887 c=3.2655 alpha=90.00 beta=90.00 gamma=90.00
Closest atoms and distances in Å follow each position.
Positions (direct):
Ta1 0.0000 0.1257 0.2500  2 Nb 2.84, 2 Ta 2.85, 4 Ti 2.85
Ta2 0.0000 0.8743 0.7500  2 Nb 2.84, 2 Ta 2.85, 4 Ti 2.85
Ta3 0.5000 0.3743 0.7500  2 Nb 2.84, 2 Ta 2.85, 4 Ti 2.85
Ta4 0.5000 0.6257 0.2500  2 Nb 2.84, 2 Ta 2.85, 4 Ti 2.85
Ti1 0.2481 0.3749 0.2500  2 Nb 2.82, 4 Ti 2.84, 2 Ta 2.85
Ti2 0.2481 0.6251 0.7500  2 Nb 2.82, 4 Ti 2.84, 2 Ta 2.85
Ti3 0.2519 0.1251 0.7500  2 Nb 2.82, 4 Ti 2.84, 2 Ta 2.85
Ti4 0.2519 0.8749 0.2500  2 Nb 2.82, 4 Ti 2.84, 2 Ta 2.85
Ti5 0.7481 0.1251 0.7500  2 Nb 2.82, 4 Ti 2.84, 2 Ta 2.85
Ti6 0.7481 0.8749 0.2500  2 Nb 2.82, 4 Ti 2.84, 2 Ta 2.85
Ti7 0.7519 0.3749 0.2500  2 Nb 2.82, 4 Ti 2.84, 2 Ta 2.85
Ti8 0.7519 0.6251 0.7500  2 Nb 2.82, 4 Ti 2.84, 2 Ta 2.85
Nb1 0.0000 0.3755 0.7500  4 Ti 2.82, 2 Nb 2.83, 2 Ta 2.84
Nb2 0.0000 0.6245 0.2500  4 Ti 2.82, 2 Nb 2.83, 2 Ta 2.84
Nb3 0.5000 0.1245 0.2500  4 Ti 2.82, 2 Nb 2.83, 2 Ta 2.84
Nb4 0.5000 0.8755 0.7500  4 Ti 2.82, 2 Nb 2.83, 2 Ta 2.84

***

Entry from Alexandria via LeMat-Bulk: crystalline Ta5Ti4Nb4 at its relaxed geometry (PBE).

Computed properties:
**ρ**: 10.47 g/cm³
**Calculated formation energy**: 0.030 eV per atom
**Spin magnetization**: 0.00 μB/f.u.
**Space-group type**: C2/m, No. 12
**Raw total energy**: -10.0565 eV/atom

Unit cell a=7.1687 b=7.1687 c=8.5535 alpha=118.88 beta=118.88 gamma=38.05
Closest atoms and distances in Å follow each position.
Positions (direct):
Ta1 0.0000 0.0000 0.0000  4 Ta 2.85, 4 Nb 2.87
Ta2 0.3068 0.3068 0.7611  5 Nb 2.79-2.89, 1 Ti 2.83, 2 Ta 2.83-2.90
Ta3 0.4616 0.4616 0.1525  4 Ta 2.83-2.90, 1 Nb 2.84, 3 Ti 2.85-2.91
Ta4 0.5384 0.5384 0.8475  4 Ta 2.83-2.90, 1 Nb 2.84, 3 Ti 2.85-2.91
Ta5 0.6932 0.6932 0.2389  5 Nb 2.79-2.89, 1 Ti 2.83, 2 Ta 2.83-2.90
Ti1 0.0808 0.0808 0.6994  2 Nb 2.82, 3 Ta 2.83-2.85, 3 Ti 2.87-2.97
Ti2 0.3789 0.3789 0.4558  4 Nb 2.79-2.85, 3 Ti 2.87-2.97, 1 Ta 2.91
Ti3 0.6211 0.6211 0.5442  4 Nb 2.79-2.85, 3 Ti 2.87-2.97, 1 Ta 2.91
Ti4 0.9192 0.9192 0.3006  2 Nb 2.82, 3 Ta 2.83-2.85, 3 Ti 2.87-2.97
Nb1 0.1498 0.1498 0.3881  4 Ta 2.79-2.87, 4 Ti 2.82-2.85
Nb2 0.2325 0.2325 0.0787  2 Ti 2.79-2.82, 4 Ta 2.84-2.89, 2 Nb 2.85
Nb3 0.7675 0.7675 0.9213  2 Ti 2.79-2.82, 4 Ta 2.84-2.89, 2 Nb 2.85
Nb4 0.8502 0.8502 0.6119  4 Ta 2.79-2.87, 4 Ti 2.82-2.85

***

Entry from Alexandria via LeMat-Bulk: crystalline Ta2Ti3Nb8 at its relaxed geometry (PBE).

Computed properties:
**ρ**: 8.60 g/cm³
**Calculated formation energy**: 0.244 eV per atom
**Spin magnetization**: 0.00 μB/f.u.
**Space-group type**: P-1, No. 2
**Raw total energy**: -9.5977 eV/atom

Unit cell a=5.6184 b=5.9748 c=7.4900 alpha=85.53 beta=75.30 gamma=83.33
Closest atoms and distances in Å follow each position.
Positions (direct):
Ta1 0.1997 0.4252 0.0940  5 Nb 2.61-2.89
Ta2 0.8003 0.5748 0.9060  5 Nb 2.61-2.89
Ti1 0.2678 0.4818 0.5035  4 Nb 2.60-2.88, 1 Ti 2.63
Ti2 0.5000 0.0000 0.5000  8 Nb 2.80-3.01, 2 Ti 3.02
Ti3 0.7322 0.5182 0.4965  4 Nb 2.60-2.88, 1 Ti 2.63
Nb1 0.0426 0.1687 0.3900  1 Nb 2.51, 2 Ti 2.60-2.68, 1 Ta 2.61
Nb2 0.0965 0.1491 0.8302  5 Nb 2.79-3.03, 2 Ta 2.88-2.89, 2 Ti 3.01-3.06
Nb3 0.3585 0.6987 0.8045  2 Ta 2.64-2.78, 3 Ti 2.80-2.88, 1 Nb 2.91
Nb4 0.4067 0.8440 0.1738  5 Nb 2.79-3.11, 1 Ti 2.87, 2 Ta 2.99-3.04
Nb5 0.5933 0.1560 0.8262  5 Nb 2.79-3.11, 1 Ti 2.87, 2 Ta 2.99-3.04
Nb6 0.6415 0.3013 0.1955  2 Ta 2.64-2.78, 3 Ti 2.80-2.88, 1 Nb 2.91
Nb7 0.9035 0.8509 0.1698  5 Nb 2.79-3.03, 2 Ta 2.88-2.89, 2 Ti 3.01-3.06
Nb8 0.9574 0.8313 0.6100  1 Nb 2.51, 2 Ti 2.60-2.68, 1 Ta 2.61

***

Entry from Alexandria via LeMat-Bulk: crystalline Ta2TiNb at its relaxed geometry (PBE).

Computed properties:
**ρ**: 11.65 g/cm³
**Calculated formation energy**: 0.039 eV per atom
**Spin magnetization**: 0.00 μB/f.u.
**Space-group type**: Fm-3m, No. 225
**Raw total energy**: -10.3782 eV/atom

Unit cell a=6.5938 b=6.5938 c=6.5938 alpha=90.00 beta=90.00 gamma=90.00
Closest atoms and distances in Å follow each position.
Positions (direct):
Ta1 0.2500 0.2500 0.2500  4 Nb 2.86, 4 Ti 2.86
Ta2 0.2500 0.2500 0.7500  4 Nb 2.86, 4 Ti 2.86
Ta3 0.2500 0.7500 0.2500  4 Nb 2.86, 4 Ti 2.86
Ta4 0.2500 0.7500 0.7500  4 Nb 2.86, 4 Ti 2.86
Ta5 0.7500 0.2500 0.2500  4 Nb 2.86, 4 Ti 2.86
Ta6 0.7500 0.2500 0.7500  4 Nb 2.86, 4 Ti 2.86
Ta7 0.7500 0.7500 0.2500  4 Nb 2.86, 4 Ti 2.86
Ta8 0.7500 0.7500 0.7500  4 Nb 2.86, 4 Ti 2.86
Ti1 0.0000 0.0000 0.0000  8 Ta 2.86
Ti2 0.0000 0.5000 0.5000  8 Ta 2.86
Ti3 0.5000 0.0000 0.5000  8 Ta 2.86
Ti4 0.5000 0.5000 0.0000  8 Ta 2.86
Nb1 0.0000 0.0000 0.5000  8 Ta 2.86
Nb2 0.0000 0.5000 0.0000  8 Ta 2.86
Nb3 0.5000 0.0000 0.0000  8 Ta 2.86
Nb4 0.5000 0.5000 0.5000  8 Ta 2.86